Entry 1:
## KLiPbS2 (PBE)

Data for a geometry-optimized KLiPbS2 structure.

Results
Electronic total energy ... -39.5 eV/cell
Magnetization ... 0.0 μB/f.u.
Formation energy without anion corrections ... -0.954 eV per atom
ρ ... 3.7 g/cm³

Structure (POSCAR):
```
KLiPbS2
1.0
-3.424 1.778 1.745
-2.289 -7.389 -2.099
2.360 -3.173 7.865
S Li Pb K
4 2 2 2
direct
0.652 0.304 0.338
0.348 0.696 0.662
0.143 0.286 0.962
0.857 0.714 0.038
0.696 0.392 0.068
0.304 0.608 0.932
0.056 0.111 0.227
0.944 0.889 0.773
0.315 0.629 0.311
0.685 0.371 0.689
```

***

Entry 2:
## LaCe3Sm4S8 (PBE)

Data for a geometry-optimized LaCe3Sm4S8 structure.

Results
Electronic total energy ... -107.5 eV/cell
Magnetization ... 2.2 μB/f.u.
Formation energy without anion corrections ... -2.053 eV per atom
ρ ... 6.3 g/cm³

Structure (POSCAR):
```
LaCe3Sm4S8
1.0
-1.487 -6.867 3.961
7.552 -2.462 -1.433
-1.311 7.098 3.600
S Ce Sm La
8 3 4 1
direct
0.747 0.245 0.493
0.751 0.752 0.501
0.249 0.248 0.499
0.748 0.755 0.001
0.253 0.755 0.001
0.252 0.245 0.999
0.253 0.755 0.507
0.747 0.245 0.999
0.500 0.500 0.500
0.000 0.500 0.500
0.500 0.500 0.000
0.500 0.000 0.500
0.500 0.000 0.000
0.000 0.000 0.000
0.000 0.000 0.500
0.000 0.500 0.000
```

***

Entry 3:
## Sr3HgH (PBE)

Data for a geometry-optimized Sr3HgH structure.

Results
Electronic total energy ... -10.0 eV/cell
Magnetization ... 0.0 μB/f.u.
Energy above the lowest structure with this stoichiometry ... 0.111 eV/atom
ρ ... 5.0 g/cm³

Structure (POSCAR):
```
Sr3HgH
1.0
5.360 0.000 0.000
0.000 5.360 0.000
0.000 0.000 5.360
H Sr Hg
1 3 1
direct
0.000 0.000 0.000
0.500 0.000 0.000
0.000 0.500 0.000
0.000 0.000 0.500
0.500 0.500 0.500
```

***

Entry 4:
## MnGaGeSe2 (PBE)

Data for a geometry-optimized MnGaGeSe2 structure.

Results
Electronic total energy ... -24.3 eV/cell
Magnetization ... 1.4 μB/f.u.
Formation energy without anion corrections ... -0.104 eV per atom
Energy above the lowest structure with this stoichiometry ... 0.162 eV/atom
ρ ... 5.6 g/cm³

Structure (POSCAR):
```
MnGaGeSe2
1.0
-1.659 -0.332 2.230
-1.524 -3.234 -1.615
7.532 -5.166 3.235
Mn Se Ge Ga
1 2 1 1
direct
0.343 0.500 0.110
0.664 0.000 0.717
0.455 0.500 0.357
0.846 0.000 0.115
0.738 0.500 0.881
```

***

Entry 5:
## UP4 (PBE)

Data for a geometry-optimized UP4 structure.

Results
Electronic total energy ... -67.4 eV/cell
Magnetization ... 2.4 μB/f.u.
Energy above the lowest structure with this stoichiometry ... 0.000 eV/atom
Formation energy from the elements ... -0.16 eV per atom
ρ ... 6.1 g/cm³

Structure (POSCAR):
```
UP4
1.0
-3.175 -0.849 -2.486
2.027 -5.682 -0.649
-4.643 -1.147 6.321
P U
8 2
direct
0.178 0.270 0.758
0.822 0.730 0.242
0.678 0.730 0.742
0.351 0.601 0.918
0.149 0.601 0.418
0.322 0.270 0.258
0.649 0.399 0.082
0.851 0.399 0.582
0.000 0.000 0.000
0.500 0.000 0.500
```

***

Entry 6:
## CePa2I8 (PBE)

Data for a geometry-optimized CePa2I8 structure.

Results
Electronic total energy ... -46.1 eV/cell
Magnetization ... 6.0 μB/f.u.
Formation energy without anion corrections ... -0.797 eV per atom
ρ ... 4.4 g/cm³

Structure (POSCAR):
```
CePa2I8
1.0
-2.446 -5.500 2.049
8.792 -4.362 -1.357
4.372 1.382 8.784
I Pa Ce
8 2 1
direct
0.256 0.389 0.389
0.243 0.888 0.296
0.757 0.704 0.112
0.744 0.611 0.611
0.757 0.112 0.704
0.238 0.810 0.810
0.243 0.296 0.888
0.762 0.190 0.190
0.265 0.198 0.198
0.735 0.802 0.802
0.000 0.000 0.000
```

***

Entry 7:
## NbSbS (PBE)

Data for a geometry-optimized NbSbS structure.

Results
Electronic total energy ... -20.0 eV/cell
Magnetization ... 0.0 μB/f.u.
Formation energy without anion corrections ... -0.561 eV per atom
Energy above the lowest structure with this stoichiometry ... 0.000 eV/atom
ρ ... 5.7 g/cm³

Structure (POSCAR):
```
NbSbS
1.0
3.279 0.000 0.000
-1.639 2.840 0.000
0.000 0.000 7.747
S Sb Nb
1 1 1
direct
0.333 0.667 0.568
0.000 0.000 0.068
0.667 0.333 0.364
```

***

Entry 8:
## HfTc2S (PBE)

Data for a geometry-optimized HfTc2S structure.

Results
Electronic total energy ... -70.3 eV/cell
Magnetization ... 0.0 μB/f.u.
Formation energy without anion corrections ... -0.085 eV per atom
ρ ... 10.0 g/cm³

Structure (POSCAR):
```
HfTc2S
1.0
-2.789 5.884 -3.135
-6.470 -1.570 2.809
-4.057 3.545 1.932
Hf S Tc
2 2 4
direct
0.750 0.250 0.500
0.000 0.000 0.000
0.250 0.750 0.500
0.500 0.500 0.000
0.375 0.465 0.750
0.875 0.785 0.750
0.535 0.125 0.250
0.215 0.625 0.250
```